Record 1
# ReAsCl2 PBE optimized geometry
data_ReAsCl2
_space_group_name_H-M_alt 'R 3 m'
_space_group_IT_number 160
_space_group_name_Hall 'R 3 -2"'
_cell_length_a 3.2735
_cell_length_b 3.2735
_cell_length_c 26.1916
_cell_angle_alpha 90.00
_cell_angle_beta 90.00
_cell_angle_gamma 120.00
loop_
_atom_site_label
_atom_site_type_symbol
_atom_site_fract_x
_atom_site_fract_y
_atom_site_fract_z
_atom_site_occupancy
Re1 Re 0.0000 0.0000 0.0000 1
As1 As 0.0000 0.0000 0.7286 1
Cl1 Cl 0.0000 0.0000 0.2655 1
Cl2 Cl 0.0000 0.0000 0.4691 1
# Excess energy over the best structure of this formula in the dataset (kJ/mol of formula units): 79
# ΔE_f (raw) (eV per atom): 0.116



Record 2
# ReAsCl2 PBE optimized geometry
data_ReAsCl2
_space_group_name_H-M_alt 'P 4/m m m'
_space_group_IT_number 123
_space_group_name_Hall '-P 4 2'
_cell_length_a 2.9550
_cell_length_b 2.9550
_cell_length_c 9.4382
_cell_angle_alpha 90.00
_cell_angle_beta 90.00
_cell_angle_gamma 90.00
loop_
_atom_site_label
_atom_site_type_symbol
_atom_site_fract_x
_atom_site_fract_y
_atom_site_fract_z
_atom_site_occupancy
Re1 Re 0.0000 0.0000 0.0000 1
As1 As 0.0000 0.0000 0.5000 1
Cl1 Cl 0.5000 0.5000 0.1591 1
# Excess energy over the best structure of this formula in the dataset (kJ/mol of formula units): 355
# ΔE_f (raw) (eV per atom): 0.831



Record 3
# Re2AsCl PBE optimized geometry
data_Re2AsCl
_space_group_name_H-M_alt 'C 1 2/m 1'
_space_group_IT_number 12
_space_group_name_Hall '-C 2y'
_cell_length_a 5.7734
_cell_length_b 8.6723
_cell_length_c 2.7047
_cell_angle_alpha 90.00
_cell_angle_beta 105.92
_cell_angle_gamma 90.00
loop_
_atom_site_label
_atom_site_type_symbol
_atom_site_fract_x
_atom_site_fract_y
_atom_site_fract_z
_atom_site_occupancy
Re1 Re 0.2500 0.2500 0.0000 1
As1 As 0.0000 0.0000 0.0000 1
Cl1 Cl 0.0000 0.5000 0.0000 1
# Excess energy over the best structure of this formula in the dataset (kJ/mol of formula units): 389
# ΔE_f (raw) (eV per atom): 1.008



Number 3 is which compound?
Re2AsCl